# 1
# SrTcIr (PBE, optimized geometry)
# E_form, eV/atom: 0.10
# Relative energy among the computed polymorphs, eV per atom: 0.093
# D(E_F), states/eV per cell: 5.19
data_SrTcIr
_symmetry_space_group_name_H-M 'P 1 m 1'
_symmetry_Int_Tables_number 6
_symmetry_space_group_name_Hall 'P -2y'
_cell_length_a 5.390
_cell_length_b 4.223
_cell_length_c 6.130
_cell_angle_alpha 90.00
_cell_angle_beta 101.67
_cell_angle_gamma 90.00
loop_
_atom_site_label
_atom_site_fract_x
_atom_site_fract_y
_atom_site_fract_z
_atom_site_occupancy
Sr1 0.000 0.000 0.000 1
Sr2 0.475 0.500 0.850 1
Tc1 0.122 0.000 0.493 1
Tc2 0.612 0.000 0.450 1
Ir1 0.340 0.500 0.338 1
Ir2 0.843 0.500 0.352 1

# 2
# PmH3Rh2 (PBE, optimized geometry)
# Raw total energy, eV per formula unit: -31.5
# D(E_F), states/eV per cell: 10.27
data_PmH3Rh2
_symmetry_space_group_name_H-M 'C m c m'
_symmetry_Int_Tables_number 63
_symmetry_space_group_name_Hall '-C 2c 2'
_cell_length_a 6.842
_cell_length_b 8.199
_cell_length_c 5.475
_cell_angle_alpha 90.00
_cell_angle_beta 90.00
_cell_angle_gamma 90.00
loop_
_atom_site_label
_atom_site_fract_x
_atom_site_fract_y
_atom_site_fract_z
_atom_site_occupancy
Pm1 0.000 0.204 0.250 1
H1 0.000 0.481 0.750 1
H2 0.160 0.071 0.750 1
Rh1 0.202 0.500 0.000 1

# 3
# MgInCu2 (PBE, optimized geometry)
# E_form, eV/atom: 0.05
# D(E_F), states/eV per cell: 6.16
data_MgInCu2
_symmetry_space_group_name_H-M 'F -4 3 m'
_symmetry_Int_Tables_number 216
_symmetry_space_group_name_Hall 'F -4 2 3'
_cell_length_a 6.389
_cell_length_b 6.389
_cell_length_c 6.389
_cell_angle_alpha 90.00
_cell_angle_beta 90.00
_cell_angle_gamma 90.00
loop_
_atom_site_label
_atom_site_fract_x
_atom_site_fract_y
_atom_site_fract_z
_atom_site_occupancy
Mg1 0.000 0.000 0.000 1
In1 0.250 0.250 0.750 1
Cu1 0.000 0.000 0.500 1
Cu2 0.250 0.250 0.250 1

Please write out number 1 again, unchanged.
# SrTcIr (PBE, optimized geometry)
# E_form, eV/atom: 0.10
# Relative energy among the computed polymorphs, eV per atom: 0.093
# D(E_F), states/eV per cell: 5.19
data_SrTcIr
_symmetry_space_group_name_H-M 'P 1 m 1'
_symmetry_Int_Tables_number 6
_symmetry_space_group_name_Hall 'P -2y'
_cell_length_a 5.390
_cell_length_b 4.223
_cell_length_c 6.130
_cell_angle_alpha 90.00
_cell_angle_beta 101.67
_cell_angle_gamma 90.00
loop_
_atom_site_label
_atom_site_fract_x
_atom_site_fract_y
_atom_site_fract_z
_atom_site_occupancy
Sr1 0.000 0.000 0.000 1
Sr2 0.475 0.500 0.850 1
Tc1 0.122 0.000 0.493 1
Tc2 0.612 0.000 0.450 1
Ir1 0.340 0.500 0.338 1
Ir2 0.843 0.500 0.352 1

D(E_F) of number 3 (MgInCu2)?
6.16 states/eV per cell